Entry 1:
This record from Alexandria describes a relaxed structure of SmAsRh3. The functional is PBE.

The structure belongs to space group I4mm (No. 107); the cell edges are 4.068, 4.068 and 10.875 Å and the angles 90.00°, 90.00° and 90.00°. The inequivalent atoms are Sm at (0.000, 0.000, 0.000), As at (0.000, 0.000, 0.632), Rh at (0.000, 0.000, 0.417) and Rh at (0.000, 0.500, 0.254).

The total magnetic moment is 0.000 μB per atom. The value obtained for the formation energy is -68.0 kJ/mol of atoms. As for the total energy: -69.89 eV/cell. As for the density of states at the Fermi level: 0.90 states/eV per atom. For the energy above the most stable polymorph in this dataset, the calculation gives 0.0 meV per atom.

---

Entry 2:
This record from Alexandria describes a relaxed structure of LaCe2TaN4. The functional is PBE.

The structure belongs to space group Cmcm (No. 63); the cell edges are 3.472, 12.246 and 12.454 Å and the angles 90.00°, 90.00° and 90.00°. The inequivalent atoms are La at (0.000, 0.099, 0.250), Ce at (0.000, 0.369, 0.036), Ta at (0.000, 0.164, 0.750), N at (0.000, 0.000, 0.000), N at (0.000, 0.265, 0.628) and N at (0.000, 0.434, 0.250).

The total magnetic moment is 0.193 μB per atom. For the formation energy from raw total energies, the calculation gives -1208 meV/atom. As for the total energy: -286.46 eV/cell. As for the density of states at the Fermi level: 1.14 states/eV per atom.

---

Entry 3:
This record from Alexandria describes a relaxed structure of KCoB3. The functional is PBE.

The structure belongs to space group Pm-3m (No. 221); the cell edges are 4.612, 4.612 and 4.612 Å and the angles 90.00°, 90.00° and 90.00°. The inequivalent atoms are K at (0.000, 0.000, 0.000), Co at (0.500, 0.500, 0.500) and B at (0.000, 0.000, 0.500).

The total magnetic moment is 0.189 μB per atom. The value obtained for the formation energy is 359.3 kJ/mol of atoms. As for the total energy: -9.61 eV/cell. As for the density of states at the Fermi level: 1.56 states/eV per atom. For the energy above the most stable polymorph in this dataset, the calculation gives 2843.8 meV per atom.

---

Entry 4:
This record from Alexandria describes a relaxed structure of Ta2TeAs. The functional is PBE.

The structure belongs to space group C2/m (No. 12); the cell edges are 7.633, 3.710 and 6.371 Å and the angles 90.00°, 108.01° and 90.00°. The inequivalent atoms are Ta at (0.235, 0.000, 0.167), Te at (0.000, 0.000, 0.500) and As at (0.000, 0.500, 0.000).

The total magnetic moment is 0.000 μB per atom. For the formation energy from raw total energies, the calculation gives 47 meV/atom. As for the total energy: -62.62 eV/cell. As for the density of states at the Fermi level: 0.60 states/eV per atom.

---

Entry 5:
This record from Alexandria describes a relaxed structure of Y4Rh6Pb19. The functional is PBE.

The structure belongs to space group I23 (No. 197); the cell edges are 11.664, 11.664 and 11.664 Å and the angles 90.00°, 90.00° and 90.00°. The inequivalent atoms are Y at (0.168, 0.168, 0.832), Rh at (0.000, 0.372, 0.500), Pb at (0.000, 0.000, 0.000), Pb at (0.000, 0.000, 0.306) and Pb at (0.057, 0.304, 0.281).

The total magnetic moment is 0.000 μB per atom. The value obtained for the formation energy is -0.9 kJ/mol of atoms. As for the total energy: -281.39 eV/cell. As for the density of states at the Fermi level: 0.77 states/eV per atom.

---

Entry 6:
This record from Alexandria describes a relaxed structure of ErTm3Ni2. The functional is PBE.

The structure belongs to space group C2/m (No. 12); the cell edges are 15.823, 3.842 and 11.185 Å and the angles 90.00°, 123.28° and 90.00°. The inequivalent atoms are Er at (0.154, 0.000, 0.245), Tm at (0.082, 0.500, 0.441), Tm at (0.082, 0.500, 0.940), Tm at (0.154, 0.000, 0.745), Ni at (0.231, 0.000, 0.051) and Ni at (0.231, 0.000, 0.551).

The total magnetic moment is 0.000 μB per atom. The value obtained for the formation energy is -31.2 kJ/mol of atoms. As for the total energy: -125.93 eV/cell. As for the density of states at the Fermi level: 1.06 states/eV per atom.

---

Entry 7:
This record from Alexandria describes a relaxed structure of K2AgH. The functional is PBE.

The structure belongs to space group P4/mmm (No. 123); the cell edges are 3.595, 3.595 and 8.031 Å and the angles 90.00°, 90.00° and 90.00°. The inequivalent atoms are K at (0.000, 0.000, 0.207), Ag at (0.500, 0.500, 0.500) and H at (0.500, 0.500, 0.000).

The total magnetic moment is 0.000 μB per atom. As for the total energy: -8.31 eV/cell. As for the density of states at the Fermi level: 0.19 states/eV per atom. For the energy above the most stable polymorph in this dataset, the calculation gives 16.9 meV per atom.

---

Entry 8:
This record from Alexandria describes a relaxed structure of TbDy5Er5. The functional is PBE.

The structure belongs to space group P-6m2 (No. 187); the cell edges are 6.0012, 6.0012 and 11.5082 Å and the angles 90.00°, 90.00° and 120.00°. The inequivalent atoms are Tb at (0.0000, 0.0000, 0.0000), Dy at (0.0000, 0.0000, 0.3185), Dy at (0.3333, 0.6667, 0.1557), Dy at (0.6667, 0.3333, 0.0000), Er at (0.0015, 0.5008, 0.5000) and Er at (0.6667, 0.3333, 0.2648).

The total magnetic moment is 0.001 μB per atom. The value obtained for the formation energy is 31.5 kJ/mol of atoms. As for the total energy: -46.86 eV/cell. As for the density of states at the Fermi level: 1.92 states/eV per atom.

---

Entry 9:
This record from Alexandria describes a relaxed structure of VGePCl2. The functional is PBE.

The structure belongs to space group P4/mmm (No. 123); the cell edges are 4.830, 4.830 and 4.993 Å and the angles 90.00°, 90.00° and 90.00°. The inequivalent atoms are V at (0.000, 0.000, 0.000), Ge at (0.500, 0.500, 0.500), P at (0.500, 0.500, 0.000) and Cl at (0.000, 0.500, 0.500).

The total magnetic moment is 0.573 μB per atom. For the formation energy from raw total energies, the calculation gives 458 meV/atom. As for the total energy: -20.55 eV/cell. As for the density of states at the Fermi level: 0.81 states/eV per atom. For the energy above the most stable polymorph in this dataset, the calculation gives 500.0 meV per atom.

---

Entry 10:
This record from Alexandria describes a relaxed structure of Cs2YTlBr6. The functional is PBE.

The structure belongs to space group Fm-3m (No. 225); the cell edges are 12.025, 12.025 and 12.025 Å and the angles 90.00°, 90.00° and 90.00°. The inequivalent atoms are Cs at (0.250, 0.250, 0.250), Y at (0.000, 0.000, 0.000), Tl at (0.000, 0.000, 0.500) and Br at (0.000, 0.000, 0.233).

The total magnetic moment is 0.000 μB per atom. For the formation energy from raw total energies, the calculation gives -1672 meV/atom. As for the total energy: -149.16 eV/cell. As for the density of states at the Fermi level: 0.00 states/eV per atom. For the energy above the most stable polymorph in this dataset, the calculation gives 20.6 meV per atom.

---

Entry 11:
This record from Alexandria describes a relaxed structure of Sb2TeAu. The functional is PBE.

The structure belongs to space group R3m (No. 160, hexagonal axes); the cell edges are 4.1394, 4.1394 and 22.2852 Å and the angles 90.00°, 90.00° and 120.00°. The inequivalent atoms are Sb at (0.0000, 0.0000, 0.0000), Sb at (0.0000, 0.0000, 0.1963), Te at (0.0000, 0.0000, 0.4279) and Au at (0.0000, 0.0000, 0.5982).

The total magnetic moment is 0.000 μB per atom. For the formation energy from raw total energies, the calculation gives 1 meV/atom. As for the total energy: -43.98 eV/cell. As for the density of states at the Fermi level: 0.71 states/eV per atom.

---

Entry 12:
This record from Alexandria describes a relaxed structure of MgTaH. The functional is PBE.

The structure belongs to space group P-1 (No. 2); the cell edges are 2.964, 5.578 and 5.707 Å and the angles 114.80°, 95.96° and 101.29°. The inequivalent atoms are Mg at (0.194, 0.254, 0.498), Ta at (0.316, 0.742, 0.011) and H at (0.407, 0.877, 0.761).

The total magnetic moment is 0.000 μB per atom. As for the total energy: -33.03 eV/cell. As for the density of states at the Fermi level: 0.30 states/eV per atom. For the energy above the most stable polymorph in this dataset, the calculation gives 152.7 meV per atom.